A relaxed structure of SrCSe2, computed with GGA-PBEsol.

Lattice parameters (Å, degrees): 4.8497 4.8497 6.9514 69.58 69.58 60.00
Site moments in Bohr magnetons follow the coordinates.
Atoms (fractional coordinates):
Sr (0.5000, 0.5000, 0.5000)  0.09
C (0.0000, 0.0000, 0.0000)  0.72
Se (0.9055, 0.9055, 0.2836)  0.08
Se (0.0945, 0.0945, 0.7164)  0.08

* crystal system: trigonal
* energy relative to the elements, uncorrected: 254 meV per atom
* total magnetic moment: 1.98 μB/f.u.
* N(E_F): 0.41 states/eV per cell